No. 1
# TbCoTe2 | Alexandria | GGA-PBE | optimized geometry
# ρ (g cm⁻³): 7.2
# Formation energy from raw total energies (meV/atom): -160.9
# V (Å³/cell): 109
# SG: R-3m (166)
# Magnetization (μB per formula unit): 0.0
data_TbCoTe2
_cell_length_a 3.7506
_cell_length_b 3.7506
_cell_length_c 9.1833
_cell_angle_alpha 78.22
_cell_angle_beta 78.22
_cell_angle_gamma 60.00
_space_group_name_H-M_alt 'P 1'
_space_group_IT_number 1
loop_
_space_group_symop_operation_xyz
'x,y,z'
loop_
_atom_site_label
_atom_site_type_symbol
_atom_site_fract_x
_atom_site_fract_y
_atom_site_fract_z
Co1 Co 0.5000 0.5000 0.5000
Te1 Te 0.1154 0.1154 0.6539
Te2 Te 0.8846 0.8846 0.3461
Tb1 Tb 0.0000 0.0000 0.0000



No. 2
# Tb4Sm9Mg11 | Alexandria | GGA-PBE | optimized geometry
# ρ (g cm⁻³): 5.4
# V (Å³/cell): 690
# Energy relative to the elements (eV/atom): -0.041
# SG: Cmmm (65)
# Magnetization (μB per formula unit): 0.0
data_Tb4Sm9Mg11
_cell_length_a 3.6844
_cell_length_b 14.0915
_cell_length_c 14.0915
_cell_angle_alpha 109.45
_cell_angle_beta 90.00
_cell_angle_gamma 90.00
_space_group_name_H-M_alt 'P 1'
_space_group_IT_number 1
loop_
_space_group_symop_operation_xyz
'x,y,z'
loop_
_atom_site_label
_atom_site_type_symbol
_atom_site_fract_x
_atom_site_fract_y
_atom_site_fract_z
Tb1 Tb 0.5000 0.5719 0.7473
Tb2 Tb 0.5000 0.4281 0.2527
Tb3 Tb 0.5000 0.7473 0.5719
Tb4 Tb 0.5000 0.2527 0.4281
Sm1 Sm 0.5000 0.6224 0.1492
Sm2 Sm 0.5000 0.3776 0.8508
Sm3 Sm 0.5000 0.1492 0.6224
Sm4 Sm 0.5000 0.8508 0.3776
Sm5 Sm 0.5000 0.7924 0.9713
Sm6 Sm 0.5000 0.2076 0.0287
Sm7 Sm 0.5000 0.9713 0.7924
Sm8 Sm 0.5000 0.0287 0.2076
Sm9 Sm 0.5000 0.5000 0.5000
Mg1 Mg 0.0000 0.5882 0.9438
Mg2 Mg 0.0000 0.4118 0.0562
Mg3 Mg 0.0000 0.9438 0.5882
Mg4 Mg 0.0000 0.0562 0.4118
Mg5 Mg 0.0000 0.6362 0.3638
Mg6 Mg 0.0000 0.3638 0.6362
Mg7 Mg 0.0000 0.8257 0.1743
Mg8 Mg 0.0000 0.1743 0.8257
Mg9 Mg 0.0000 0.0000 0.0000
Mg10 Mg 0.0000 0.7699 0.7699
Mg11 Mg 0.0000 0.2301 0.2301